Entry from the Alexandria database: a geometry-optimized PrPaCoN3 structure (GGA-PBE).

Cell lengths 7.261, 3.451, 7.337 Å; angles 90.00, 101.09, 90.00 degrees
Fractional positions:
Pr: 0.170 0.250 0.213
Pr: 0.830 0.750 0.787
Pa: 0.337 0.750 0.821
Pa: 0.663 0.250 0.179
Co: 0.094 0.250 0.577
Co: 0.906 0.750 0.423
N: 0.133 0.250 0.860
N: 0.175 0.750 0.482
N: 0.438 0.750 0.140
N: 0.562 0.250 0.860
N: 0.825 0.250 0.518
N: 0.867 0.750 0.140

Calculated values
Formation energy without anion corrections: -1.06 eV per atom
Density of states at the Fermi level: 3.22 states/eV/f.u.

---

Entry from the Alexandria database: a geometry-optimized Pa2CoPtN5 structure (GGA-PBE).

Cell lengths 6.628, 6.628, 10.343 Å; angles 90.00, 90.00, 150.84 degrees
Fractional positions:
Pa: 0.083 0.917 0.500
Pa: 0.155 0.845 0.151
Pa: 0.845 0.155 0.651
Pa: 0.917 0.083 0.000
Co: 0.226 0.774 0.883
Co: 0.774 0.226 0.383
Pt: 0.457 0.543 0.291
Pt: 0.543 0.457 0.791
N: 0.080 0.920 0.928
N: 0.259 0.741 0.532
N: 0.302 0.698 0.273
N: 0.377 0.623 0.839
N: 0.487 0.513 0.606
N: 0.513 0.487 0.106
N: 0.623 0.377 0.339
N: 0.698 0.302 0.773
N: 0.741 0.259 0.032
N: 0.920 0.080 0.428

Calculated values
Formation energy without anion corrections: -0.57 eV per atom
Density of states at the Fermi level: 4.71 states/eV/f.u.

---

Entry from the Alexandria database: a geometry-optimized PuPa2CoN5 structure (GGA-PBE).

Cell lengths 6.792, 6.792, 10.214 Å; angles 90.00, 90.00, 151.27 degrees
Fractional positions:
Pu: 0.201 0.799 0.500
Pu: 0.799 0.201 0.000
Pa: 0.099 0.901 0.179
Pa: 0.145 0.855 0.800
Pa: 0.855 0.145 0.300
Pa: 0.901 0.099 0.679
Co: 0.481 0.519 0.946
Co: 0.519 0.481 0.446
N: 0.046 0.954 0.554
N: 0.277 0.723 0.163
N: 0.339 0.661 0.852
N: 0.373 0.627 0.498
N: 0.476 0.524 0.268
N: 0.524 0.476 0.768
N: 0.627 0.373 0.998
N: 0.661 0.339 0.352
N: 0.723 0.277 0.663
N: 0.954 0.046 0.054

Calculated values
Formation energy without anion corrections: -1.07 eV per atom
Density of states at the Fermi level: 6.81 states/eV/f.u.

---

Entry from the Alexandria database: a geometry-optimized Pu2PaCoN4 structure (GGA-PBE).

Cell lengths 5.807, 5.807, 11.491 Å; angles 90.00, 90.00, 146.32 degrees
Fractional positions:
Pu: 0.132 0.868 0.558
Pu: 0.132 0.868 0.942
Pu: 0.868 0.132 0.058
Pu: 0.868 0.132 0.442
Pa: 0.390 0.610 0.750
Pa: 0.610 0.390 0.250
Co: 0.349 0.651 0.250
Co: 0.651 0.349 0.750
N: 0.043 0.957 0.750
N: 0.221 0.779 0.129
N: 0.221 0.779 0.371
N: 0.500 0.500 0.000
N: 0.500 0.500 0.500
N: 0.779 0.221 0.629
N: 0.779 0.221 0.871
N: 0.957 0.043 0.250

Calculated values
Formation energy without anion corrections: -1.09 eV per atom
Density of states at the Fermi level: 12.66 states/eV/f.u.

---

Entry from the Alexandria database: a geometry-optimized RbPa2CoN4 structure (GGA-PBE).

Cell lengths 5.834, 5.834, 5.834 Å; angles 121.83, 121.83, 86.85 degrees
Fractional positions:
Rb: 0.000 0.000 0.000
Pa: 0.250 0.750 0.500
Pa: 0.750 0.250 0.500
Co: 0.500 0.500 0.000
N: 0.151 0.527 0.000
N: 0.473 0.473 0.624
N: 0.527 0.151 0.000
N: 0.849 0.849 0.376

Calculated values
Formation energy without anion corrections: -0.53 eV per atom
Density of states at the Fermi level: 7.73 states/eV/f.u.

---

Entry from the Alexandria database: a geometry-optimized RbPaCoN3 structure (GGA-PBE).

Cell lengths 8.077, 3.543, 8.272 Å; angles 90.00, 107.11, 90.00 degrees
Fractional positions:
Rb: 0.190 0.250 0.218
Rb: 0.810 0.750 0.782
Pa: 0.341 0.750 0.840
Pa: 0.659 0.250 0.160
Co: 0.068 0.250 0.596
Co: 0.932 0.750 0.404
N: 0.144 0.750 0.561
N: 0.162 0.250 0.832
N: 0.475 0.750 0.126
N: 0.525 0.250 0.874
N: 0.838 0.750 0.168
N: 0.856 0.250 0.439

Calculated values
Formation energy without anion corrections: -0.72 eV per atom
Density of states at the Fermi level: 1.41 states/eV/f.u.

---

Copy entry 2 word for word.
Entry from the Alexandria database: a geometry-optimized Pa2CoPtN5 structure (GGA-PBE).

Cell lengths 6.628, 6.628, 10.343 Å; angles 90.00, 90.00, 150.84 degrees
Fractional positions:
Pa: 0.083 0.917 0.500
Pa: 0.155 0.845 0.151
Pa: 0.845 0.155 0.651
Pa: 0.917 0.083 0.000
Co: 0.226 0.774 0.883
Co: 0.774 0.226 0.383
Pt: 0.457 0.543 0.291
Pt: 0.543 0.457 0.791
N: 0.080 0.920 0.928
N: 0.259 0.741 0.532
N: 0.302 0.698 0.273
N: 0.377 0.623 0.839
N: 0.487 0.513 0.606
N: 0.513 0.487 0.106
N: 0.623 0.377 0.339
N: 0.698 0.302 0.773
N: 0.741 0.259 0.032
N: 0.920 0.080 0.428

Calculated values
Formation energy without anion corrections: -0.57 eV per atom
Density of states at the Fermi level: 4.71 states/eV/f.u.

---

Question: The highest formation energy without anion corrections belongs to which entry?
Answer: RbPa2CoN4

---

Question: Among the records above, which one has the highest density of states at the Fermi level?
Answer: Pu2PaCoN4

---

Question: density of states at the Fermi level of number 2 (Pa2CoPtN5)?
Answer: 4.71 states/eV/f.u.